Record 1
An optimized crystal structure of CaNb2P2O11. Source: Alexandria, functional GGA-PBE.

Calculated values
- E_form (uncorrected) (kJ/mol of atoms) = -249.0
- space-group type = No. 15

Lattice parameters (Å, degrees): 9.348 9.348 5.306 92.88 92.88 71.99
Fractional coordinates of all 32 atoms:
Ca (0.105, 0.895, 0.750)
Ca (0.895, 0.105, 0.250)
Nb (0.254, 0.495, 0.760)
Nb (0.495, 0.254, 0.260)
Nb (0.505, 0.746, 0.740)
Nb (0.746, 0.505, 0.240)
P (0.021, 0.686, 0.255)
P (0.314, 0.979, 0.245)
P (0.686, 0.021, 0.755)
P (0.979, 0.314, 0.745)
O (0.014, 0.154, 0.634)
O (0.096, 0.668, 0.996)
O (0.126, 0.360, 0.784)
O (0.126, 0.577, 0.447)
O (0.154, 0.014, 0.134)
O (0.332, 0.904, 0.504)
O (0.333, 0.667, 0.750)
O (0.360, 0.126, 0.284)
O (0.363, 0.410, 0.070)
O (0.410, 0.363, 0.570)
O (0.423, 0.874, 0.053)
O (0.577, 0.126, 0.947)
O (0.590, 0.637, 0.430)
O (0.637, 0.590, 0.930)
O (0.640, 0.874, 0.716)
O (0.667, 0.333, 0.250)
O (0.668, 0.096, 0.496)
O (0.846, 0.986, 0.866)
O (0.874, 0.423, 0.553)
O (0.874, 0.640, 0.216)
O (0.904, 0.332, 0.004)
O (0.986, 0.846, 0.366)

---

Record 2
An optimized crystal structure of LaPm2Dy7. Source: Alexandria, functional GGA-PBE.

Calculated values
- space-group type = No. 65
- relative energy among the computed polymorphs (meV/atom) = 657
- energy relative to the elements (meV/atom) = 677

Lattice parameters (Å, degrees): 9.321 9.321 5.548 90.00 90.00 124.52
Fractional coordinates of all 10 atoms:
La (0.000, 0.000, 0.000)
Pm (0.297, 0.703, 0.500)
Pm (0.703, 0.297, 0.500)
Dy (0.064, 0.291, 0.500)
Dy (0.215, 0.785, 0.000)
Dy (0.291, 0.064, 0.500)
Dy (0.500, 0.500, 0.500)
Dy (0.709, 0.936, 0.500)
Dy (0.785, 0.215, 0.000)
Dy (0.936, 0.709, 0.500)

---

Record 3
An optimized crystal structure of PmPtPbO6. Source: Alexandria, functional GGA-PBE.

Calculated values
- E_form (uncorrected) (kJ/mol of atoms) = -121.9
- space-group type = No. 163

Lattice parameters (Å, degrees): 5.680 5.680 8.989 90.00 90.00 120.00
Fractional coordinates of all 18 atoms:
Pm (0.333, 0.667, 0.250)
Pm (0.667, 0.333, 0.750)
Pt (0.333, 0.667, 0.750)
Pt (0.667, 0.333, 0.250)
Pb (0.000, 0.000, 0.000)
Pb (0.000, 0.000, 0.500)
O (0.042, 0.371, 0.624)
O (0.042, 0.671, 0.876)
O (0.329, 0.371, 0.876)
O (0.329, 0.958, 0.624)
O (0.371, 0.042, 0.124)
O (0.371, 0.329, 0.376)
O (0.629, 0.671, 0.624)
O (0.629, 0.958, 0.876)
O (0.671, 0.042, 0.376)
O (0.671, 0.629, 0.124)
O (0.958, 0.329, 0.124)
O (0.958, 0.629, 0.376)

---

Record 4
An optimized crystal structure of CsY2Tl2. Source: Alexandria, functional GGA-PBE.

Calculated values
- space-group type = No. 127
- relative energy among the computed polymorphs (meV/atom) = 0
- energy relative to the elements (meV/atom) = -101

Lattice parameters (Å, degrees): 9.728 9.728 3.477 90.00 90.00 90.00
Fractional coordinates of all 10 atoms:
Cs (0.000, 0.000, 0.000)
Cs (0.500, 0.500, 0.000)
Y (0.127, 0.373, 0.000)
Y (0.373, 0.873, 0.000)
Y (0.627, 0.127, 0.000)
Y (0.873, 0.627, 0.000)
Tl (0.170, 0.670, 0.500)
Tl (0.330, 0.170, 0.500)
Tl (0.670, 0.830, 0.500)
Tl (0.830, 0.330, 0.500)

---

Record 5
An optimized crystal structure of CsGa3Bi2. Source: Alexandria, functional GGA-PBE.

Calculated values
- space-group type = No. 12
- relative energy among the computed polymorphs (meV/atom) = 0
- energy relative to the elements (meV/atom) = -124

Lattice parameters (Å, degrees): 10.470 10.470 8.718 114.46 114.46 28.25
Fractional coordinates of all 12 atoms:
Cs (0.136, 0.136, 0.217)
Cs (0.864, 0.864, 0.783)
Ga (0.046, 0.046, 0.661)
Ga (0.310, 0.310, 0.092)
Ga (0.403, 0.403, 0.450)
Ga (0.597, 0.597, 0.550)
Ga (0.690, 0.690, 0.908)
Ga (0.954, 0.954, 0.339)
Bi (0.200, 0.200, 0.730)
Bi (0.472, 0.472, 0.194)
Bi (0.528, 0.528, 0.806)
Bi (0.800, 0.800, 0.270)

---

Record 6
An optimized crystal structure of UCuPSe. Source: Alexandria, functional GGA-PBE.

Calculated values
- E_form (uncorrected) (kJ/mol of atoms) = -72.9
- space-group type = No. 166

Lattice parameters (Å, degrees): 13.541 13.541 13.541 16.82 16.82 16.82
Fractional coordinates of all 8 atoms:
U (0.079, 0.079, 0.079)
U (0.921, 0.921, 0.921)
Cu (0.312, 0.312, 0.312)
Cu (0.688, 0.688, 0.688)
P (0.372, 0.372, 0.372)
P (0.628, 0.628, 0.628)
Se (0.214, 0.214, 0.214)
Se (0.786, 0.786, 0.786)

---

Record 7
An optimized crystal structure of Pu2UAg. Source: Alexandria, functional GGA-PBE.

Calculated values
- space-group type = No. 123
- relative energy among the computed polymorphs (meV/atom) = 18
- energy relative to the elements (meV/atom) = 211

Lattice parameters (Å, degrees): 3.304 3.304 8.225 90.00 90.00 90.00
Fractional coordinates of all 4 atoms:
Pu (0.000, 0.000, 0.233)
Pu (0.000, 0.000, 0.767)
U (0.500, 0.500, 0.000)
Ag (0.500, 0.500, 0.500)

---

Record 8
An optimized crystal structure of CaBr. Source: Alexandria, functional GGA-PBE.

Calculated values
- E_form (uncorrected) (kJ/mol of atoms) = -128.9
- space-group type = No. 8

Lattice parameters (Å, degrees): 7.521 7.521 10.185 129.32 129.32 30.01
Fractional coordinates of all 6 atoms:
Ca (0.000, 0.000, 0.000)
Ca (0.135, 0.135, 0.776)
Ca (0.343, 0.343, 0.560)
Br (0.392, 0.392, 0.086)
Br (0.716, 0.716, 0.258)
Br (0.721, 0.721, 0.645)

---

Record 9
An optimized crystal structure of TbPm5Cd6. Source: Alexandria, functional GGA-PBE.

Calculated values
- space-group type = No. 65
- energy relative to the elements (meV/atom) = -318

Lattice parameters (Å, degrees): 8.515 8.515 7.691 90.00 90.00 143.16
Fractional coordinates of all 12 atoms:
Tb (0.000, 0.000, 0.000)
Pm (0.000, 0.000, 0.500)
Pm (0.332, 0.668, 0.500)
Pm (0.334, 0.666, 0.000)
Pm (0.666, 0.334, 0.000)
Pm (0.668, 0.332, 0.500)
Cd (0.165, 0.835, 0.247)
Cd (0.165, 0.835, 0.753)
Cd (0.500, 0.500, 0.246)
Cd (0.500, 0.500, 0.754)
Cd (0.835, 0.165, 0.247)
Cd (0.835, 0.165, 0.753)

---

Record 10
An optimized crystal structure of CsCa2ClO. Source: Alexandria, functional GGA-PBE.

Calculated values
- E_form (uncorrected) (kJ/mol of atoms) = -152.0
- space-group type = No. 123

Lattice parameters (Å, degrees): 4.686 4.686 8.892 90.00 90.00 90.00
Fractional coordinates of all 5 atoms:
Cs (0.000, 0.000, 0.000)
Ca (0.000, 0.500, 0.500)
Ca (0.500, 0.000, 0.500)
Cl (0.500, 0.500, 0.000)
O (0.500, 0.500, 0.500)

---

Record 11
An optimized crystal structure of Li2PrCl6. Source: Alexandria, functional GGA-PBE.

Calculated values
- E_form (uncorrected) (kJ/mol of atoms) = -161.7
- space-group type = No. 12

Lattice parameters (Å, degrees): 7.219 7.219 9.121 126.03 126.03 38.23
Fractional coordinates of all 9 atoms:
Li (0.167, 0.167, 0.134)
Li (0.833, 0.833, 0.866)
Pr (0.000, 0.000, 0.500)
Cl (0.016, 0.016, 0.200)
Cl (0.257, 0.257, 0.843)
Cl (0.370, 0.370, 0.482)
Cl (0.630, 0.630, 0.518)
Cl (0.743, 0.743, 0.157)
Cl (0.984, 0.984, 0.800)

---

Record 12
An optimized crystal structure of Ni3TeRh. Source: Alexandria, functional GGA-PBE.

Calculated values
- E_form (uncorrected) (kJ/mol of atoms) = 96.1
- space-group type = No. 221
- relative energy among the computed polymorphs (meV/atom) = 0

Lattice parameters (Å, degrees): 4.555 4.555 4.555 90.00 90.00 90.00
Fractional coordinates of all 5 atoms:
Ni (0.000, 0.000, 0.500)
Ni (0.000, 0.500, 0.000)
Ni (0.500, 0.000, 0.000)
Te (0.500, 0.500, 0.500)
Rh (0.000, 0.000, 0.000)

---

Record 13
An optimized crystal structure of Li2Hg2Te. Source: Alexandria, functional GGA-PBE.

Calculated values
- E_form (uncorrected) (kJ/mol of atoms) = -29.4
- space-group type = No. 127
- relative energy among the computed polymorphs (meV/atom) = 93

Lattice parameters (Å, degrees): 8.269 8.269 3.284 90.00 90.00 90.00
Fractional coordinates of all 10 atoms:
Li (0.170, 0.330, 0.000)
Li (0.330, 0.830, 0.000)
Li (0.670, 0.170, 0.000)
Li (0.830, 0.670, 0.000)
Hg (0.129, 0.629, 0.500)
Hg (0.371, 0.129, 0.500)
Hg (0.629, 0.871, 0.500)
Hg (0.871, 0.371, 0.500)
Te (0.000, 0.000, 0.500)
Te (0.500, 0.500, 0.500)

---

Record 14
An optimized crystal structure of Th2SiAs. Source: Alexandria, functional GGA-PBE.

Calculated values
- E_form (uncorrected) (kJ/mol of atoms) = -80.3
- space-group type = No. 160
- relative energy among the computed polymorphs (meV/atom) = 204

Lattice parameters (Å, degrees): 7.746 7.746 7.746 31.32 31.32 31.32
Fractional coordinates of all 4 atoms:
Th (0.000, 0.000, 0.000)
Th (0.169, 0.169, 0.169)
Si (0.418, 0.418, 0.418)
As (0.587, 0.587, 0.587)

---

Record 15
An optimized crystal structure of Zr2NpAl2Ru5. Source: Alexandria, functional GGA-PBE.

Calculated values
- space-group type = No. 127
- energy relative to the elements (meV/atom) = -441

Lattice parameters (Å, degrees): 9.795 9.795 3.459 90.00 90.00 90.00
Fractional coordinates of all 20 atoms:
Zr (0.169, 0.331, 0.000)
Zr (0.331, 0.831, 0.000)
Zr (0.669, 0.169, 0.000)
Zr (0.831, 0.669, 0.000)
Np (0.000, 0.000, 0.000)
Np (0.500, 0.500, 0.000)
Al (0.127, 0.627, 0.000)
Al (0.373, 0.127, 0.000)
Al (0.627, 0.873, 0.000)
Al (0.873, 0.373, 0.000)
Ru (0.000, 0.500, 0.500)
Ru (0.069, 0.798, 0.500)
Ru (0.202, 0.069, 0.500)
Ru (0.298, 0.569, 0.500)
Ru (0.431, 0.298, 0.500)
Ru (0.500, 0.000, 0.500)
Ru (0.569, 0.702, 0.500)
Ru (0.702, 0.431, 0.500)
Ru (0.798, 0.931, 0.500)
Ru (0.931, 0.202, 0.500)

---

Record 16
An optimized crystal structure of TbPd12Pt7. Source: Alexandria, functional GGA-PBE.

Calculated values
- space-group type = No. 204
- energy relative to the elements (meV/atom) = 487

Lattice parameters (Å, degrees): 8.167 8.167 8.167 109.47 109.47 109.47
Fractional coordinates of all 20 atoms:
Tb (0.000, 0.000, 0.000)
Pd (0.124, 0.270, 0.854)
Pd (0.146, 0.416, 0.270)
Pd (0.146, 0.876, 0.730)
Pd (0.270, 0.146, 0.416)
Pd (0.270, 0.854, 0.124)
Pd (0.416, 0.270, 0.146)
Pd (0.584, 0.730, 0.854)
Pd (0.730, 0.146, 0.876)
Pd (0.730, 0.854, 0.584)
Pd (0.854, 0.124, 0.270)
Pd (0.854, 0.584, 0.730)
Pd (0.876, 0.730, 0.146)
Pt (0.000, 0.000, 0.500)
Pt (0.000, 0.500, 0.000)
Pt (0.000, 0.500, 0.500)
Pt (0.500, 0.000, 0.000)
Pt (0.500, 0.000, 0.500)
Pt (0.500, 0.500, 0.000)
Pt (0.500, 0.500, 0.500)

---

Record 17
An optimized crystal structure of CaGdYEr. Source: Alexandria, functional GGA-PBE.

Calculated values
- space-group type = No. 216
- energy relative to the elements (meV/atom) = 149

Lattice parameters (Å, degrees): 5.750 5.750 5.750 60.00 60.00 60.00
Fractional coordinates of all 4 atoms:
Ca (0.000, 0.000, 0.000)
Gd (0.750, 0.750, 0.750)
Y (0.250, 0.250, 0.250)
Er (0.500, 0.500, 0.500)

---

Record 18
An optimized crystal structure of Nd3Tl4GeTe8. Source: Alexandria, functional GGA-PBE.

Calculated values
- E_form (uncorrected) (kJ/mol of atoms) = -78.8
- space-group type = No. 166

Lattice parameters (Å, degrees): 9.531 9.531 9.531 56.95 56.95 56.95
Fractional coordinates of all 16 atoms:
Nd (0.000, 0.500, 0.500)
Nd (0.500, 0.000, 0.500)
Nd (0.500, 0.500, 0.000)
Tl (0.000, 0.000, 0.500)
Tl (0.000, 0.500, 0.000)
Tl (0.500, 0.000, 0.000)
Tl (0.500, 0.500, 0.500)
Ge (0.000, 0.000, 0.000)
Te (0.233, 0.233, 0.750)
Te (0.233, 0.750, 0.233)
Te (0.250, 0.767, 0.767)
Te (0.258, 0.258, 0.258)
Te (0.742, 0.742, 0.742)
Te (0.750, 0.233, 0.233)
Te (0.767, 0.250, 0.767)
Te (0.767, 0.767, 0.250)

---

Record 19
An optimized crystal structure of KZr2BiAu. Source: Alexandria, functional GGA-PBE.

Calculated values
- space-group type = No. 123
- energy relative to the elements (meV/atom) = 492

Lattice parameters (Å, degrees): 5.256 5.256 5.720 90.00 90.00 90.00
Fractional coordinates of all 5 atoms:
K (0.000, 0.000, 0.000)
Zr (0.000, 0.500, 0.500)
Zr (0.500, 0.000, 0.500)
Bi (0.500, 0.500, 0.000)
Au (0.000, 0.000, 0.500)

---

Record 20
An optimized crystal structure of La5Tb6Pm. Source: Alexandria, functional GGA-PBE.

Calculated values
- space-group type = No. 71
- energy relative to the elements (meV/atom) = 21

Lattice parameters (Å, degrees): 9.643 9.643 9.643 148.59 116.80 72.28
Fractional coordinates of all 12 atoms:
La (0.000, 0.000, 0.000)
La (0.167, 0.667, 0.500)
La (0.334, 0.334, 0.000)
La (0.666, 0.666, 0.000)
La (0.833, 0.333, 0.500)
Tb (0.084, 0.834, 0.251)
Tb (0.251, 0.500, 0.751)
Tb (0.417, 0.166, 0.251)
Tb (0.583, 0.834, 0.749)
Tb (0.749, 0.500, 0.249)
Tb (0.916, 0.166, 0.749)
Pm (0.500, 0.000, 0.500)

---

Number 1: size of the total moment 0.0000 μB per atom. Number 2: size of the total moment 0.0000 μB per atom. Number 3: size of the total moment 0.0000 μB per atom. Number 4: size of the total moment 0.0288 μB per atom. Number 5: size of the total moment 0.0000 μB per atom. Number 6: size of the total moment 0.5000 μB per atom. Number 7: size of the total moment 2.8402 μB per atom. Number 8: size of the total moment 0.1088 μB per atom. Number 9: size of the total moment 0.1996 μB per atom. Number 10: size of the total moment 0.0000 μB per atom. Number 11: size of the total moment 0.1195 μB per atom. Number 12: size of the total moment 0.7265 μB per atom. Number 13: size of the total moment 0.0000 μB per atom. Number 14: size of the total moment 0.0000 μB per atom. Number 15: size of the total moment 0.1153 μB per atom. Number 16: size of the total moment 0.0000 μB per atom. Number 17: size of the total moment 1.9227 μB per atom. Number 18: size of the total moment 0.0000 μB per atom. Number 19: size of the total moment 0.0000 μB per atom. Number 20: size of the total moment 0.0000 μB per atom.